Record 1
Compound: GaFeCu
Source: Alexandria via LeMat-Bulk
Functional: PBE
Structure: optimized geometry

The value obtained for the total energy is -5.11 eV/atom. The spin magnetization comes out at 4.44 μB/cell. As for the density of states at the Fermi level: 3.62 states/eV/cell. For the formation energy, the calculation gives 0.081 eV per atom.

The space group is P-1 (No. 2) and the conventional cell measures 2.710, 3.561 and 8.079 Å, with angles of 89.98, 89.89 and 89.85 degrees. Symmetry generates all atoms from Ga at (0.250, 0.250, 0.103), Fe at (0.251, 0.250, 0.743) and Cu at (0.249, 0.250, 0.426).



Record 2
Compound: GaFeCu2
Source: Alexandria via LeMat-Bulk
Functional: PBE
Structure: optimized geometry

The value obtained for the total energy is -4.82 eV/atom. The spin magnetization comes out at 2.51 μB/cell. As for the density of states at the Fermi level: 2.87 states/eV/cell. For the formation energy, the calculation gives 0.104 eV per atom.

The space group is P4/mmm (No. 123) and the conventional cell measures 3.104, 3.104 and 5.352 Å, with angles of 90.00, 90.00 and 90.00 degrees. Symmetry generates all atoms from Ga at (0.000, 0.000, 0.000), Fe at (0.000, 0.000, 0.500) and Cu at (0.500, 0.500, 0.259).



Record 3
Compound: GaFe3Cu
Source: Alexandria via LeMat-Bulk
Functional: PBE
Structure: optimized geometry

The value obtained for the total energy is -6.35 eV/atom. The spin magnetization comes out at 40.08 μB/cell. As for the density of states at the Fermi level: 29.75 states/eV/cell. The energy above the most stable polymorph in this dataset is 0.0 kJ/mol of atoms. For the formation energy, the calculation gives 0.152 eV per atom.

The space group is R-3m (No. 166, hexagonal axes) and the conventional cell measures 4.9646, 4.9646 and 18.8139 Å, with angles of 90.00, 90.00 and 120.00 degrees. Symmetry generates all atoms from Ga at (0.0000, 0.0000, 0.0923), Fe at (0.0022, 0.5011, 0.8869) and Cu at (0.0000, 0.0000, 0.3342).



Record 4
Compound: Ga4FeCu2
Source: Alexandria via LeMat-Bulk
Functional: PBE
Structure: optimized geometry

The value obtained for the total energy is -3.95 eV/atom. The spin magnetization comes out at 0.71 μB/cell. As for the density of states at the Fermi level: 3.48 states/eV/cell. For the formation energy, the calculation gives 0.162 eV per atom.

The space group is I4/mmm (No. 139) and the conventional cell measures 4.559, 4.559 and 11.999 Å, with angles of 90.00, 90.00 and 90.00 degrees. Symmetry generates all atoms from Ga at (0.000, 0.000, 0.193), Ga at (0.000, 0.500, 0.000), Fe at (0.000, 0.000, 0.000) and Cu at (0.000, 0.000, 0.392).